## La2Dy2CI5 (PBE)

Data for crystalline La2Dy2CI5 at its relaxed geometry.

a = 9.9949 Å, b = 9.9949 Å, c = 8.9982 Å
α = 102.18°, β = 102.18°, γ = 23.65°
Each line ends with the local moment (μB).
Fractional positions:
Dy 0.3735 0.3735 0.9376  0.07
La 0.0010 0.0010 0.8033  0.03
I 0.1679 0.1679 0.3227  0.00
I 0.1717 0.1717 0.8427  0.00
C 0.5000 0.5000 0.0000  -0.01
La 0.9990 0.9990 0.1967  0.03
I 0.8321 0.8321 0.6773  0.00
I 0.8283 0.8283 0.1573  0.00
I 0.5000 0.5000 0.5000  0.00
Dy 0.6265 0.6265 0.0624  0.07

**Total magnetization**: 0.039 μB per atom
**Energy**: -0.1742 hartree per atom
**Space group**: No. 12



## NdDyCI (PBE)

Data for crystalline NdDyCI at its relaxed geometry.

a = 7.9313 Å, b = 7.9313 Å, c = 7.9313 Å
α = 27.86°, β = 27.86°, γ = 27.86°
Fractional positions:
I 0.0036 0.0036 0.0036
Dy 0.7768 0.7768 0.7768
Nd 0.2242 0.2242 0.2242
C 0.4954 0.4954 0.4954

**Total magnetization**: 0.003 μB per atom
**Energy**: -0.2114 hartree per atom
**Space group**: No. 160



## Nd2Dy2CI5 (PBE)

Data for crystalline Nd2Dy2CI5 at its relaxed geometry.

a = 9.7646 Å, b = 9.7646 Å, c = 8.7094 Å
α = 102.60°, β = 102.60°, γ = 23.70°
Fractional positions:
Nd 0.3650 0.3650 0.9325
Nd 0.6350 0.6350 0.0675
I 0.8388 0.8388 0.6483
I 0.1612 0.1612 0.3517
I 0.1660 0.1660 0.8084
Dy 0.0006 0.0006 0.8121
I 0.5000 0.5000 0.5000
C 0.5000 0.5000 0.0000
I 0.8340 0.8340 0.1916
Dy 0.9994 0.9994 0.1879

**Total magnetization**: 0.003 μB per atom
**Energy**: -0.1717 hartree per atom
**Space group**: No. 12
**Energy relative to the lowest polymorph listed for this composition**: 13 meV/atom



## Nd2Dy2CI5 (PBE)

Data for crystalline Nd2Dy2CI5 at its relaxed geometry.

a = 9.9607 Å, b = 9.9607 Å, c = 8.8376 Å
α = 102.18°, β = 102.18°, γ = 23.43°
Each line ends with the local moment (μB).
Fractional positions:
I 0.8347 0.8347 0.6710  0.00
C 0.5000 0.5000 0.0000  0.00
Nd 0.0009 0.0009 0.8049  0.02
I 0.5000 0.5000 0.5000  0.00
Dy 0.6266 0.6266 0.0628  0.07
I 0.8307 0.8307 0.1652  0.00
I 0.1653 0.1653 0.3290  0.00
Nd 0.9991 0.9991 0.1951  0.02
Dy 0.3734 0.3734 0.9372  0.07
I 0.1693 0.1693 0.8348  0.00

**Total magnetization**: 0.035 μB per atom
**Energy**: -0.1721 hartree per atom
**Space group**: No. 12
**Energy relative to the lowest polymorph listed for this composition**: 0 meV/atom